Record 1
Pm4Pr3Y5 | Alexandria | GGA-PBE | relaxed; energy above the most stable polymorph in this dataset = 233 kJ/mol of formula units; space-group type = C2/m (12)
1.0
8.147 -3.017 0.000
8.147 3.017 0.000
-4.166 0.000 8.462
Pm Pr Y
4 3 5
direct
0.084 0.084 0.446
0.210 0.210 0.881
0.790 0.790 0.119
0.916 0.916 0.554
0.210 0.210 0.232
0.500 0.500 0.000
0.790 0.790 0.768
0.000 0.000 0.000
0.329 0.329 0.613
0.428 0.428 0.301
0.572 0.572 0.699
0.671 0.671 0.387


Record 2
Pm7Pr12Y | Alexandria | GGA-PBE | relaxed; energy above the most stable polymorph in this dataset = 97 kJ/mol of formula units; space-group type = R-3 (148)
1.0
9.523 5.498 2.333
-9.523 5.498 2.333
0.000 -10.996 2.333
Pm Pr Y
7 12 1
direct
0.000 0.000 0.000
0.121 0.425 0.283
0.283 0.121 0.425
0.425 0.283 0.121
0.575 0.717 0.879
0.717 0.879 0.575
0.879 0.575 0.717
0.001 0.789 0.575
0.211 0.425 0.999
0.229 0.752 0.297
0.248 0.703 0.771
0.297 0.229 0.752
0.425 0.999 0.211
0.575 0.001 0.789
0.703 0.771 0.248
0.752 0.297 0.229
0.771 0.248 0.703
0.789 0.575 0.001
0.999 0.211 0.425
0.500 0.500 0.500


Record 3
Pm4Pr3Y8 | Alexandria | GGA-PBE | relaxed; energy above the most stable polymorph in this dataset = 326 kJ/mol of formula units; space-group type = C2/m (12)
1.0
6.806 -6.486 0.000
6.806 6.486 0.000
-3.424 0.000 5.909
Pm Pr Y
4 3 8
direct
0.000 0.000 0.000
0.000 0.000 0.500
0.000 0.500 0.000
0.500 0.000 0.000
0.000 0.500 0.500
0.500 0.000 0.500
0.500 0.500 0.000
0.254 0.746 0.000
0.265 0.265 0.023
0.267 0.267 0.504
0.358 0.642 0.500
0.642 0.358 0.500
0.733 0.733 0.496
0.735 0.735 0.977
0.746 0.254 0.000


Record 4
Pm3Pr2Y4 | Alexandria | GGA-PBE | relaxed; space-group type = P-1 (2)
1.0
6.280 0.000 0.000
1.034 6.205 0.000
2.083 0.726 7.808
Pm Pr Y
3 2 4
direct
0.000 0.000 0.000
0.444 0.890 0.221
0.556 0.110 0.779
0.334 0.668 0.666
0.666 0.332 0.334
0.110 0.224 0.555
0.223 0.446 0.111
0.777 0.554 0.889
0.890 0.776 0.445


Record 5
PmPrY | Alexandria | GGA-PBE | relaxed; energy above the most stable polymorph in this dataset = 13 kJ/mol of formula units; space-group type = Immm (71)
1.0
5.784 0.000 0.000
0.000 7.088 0.000
0.000 0.000 10.006
Pm Pr Y
4 4 4
direct
0.000 0.000 0.165
0.000 0.000 0.835
0.500 0.500 0.335
0.500 0.500 0.665
0.000 0.246 0.500
0.000 0.754 0.500
0.500 0.254 0.000
0.500 0.746 0.000
0.000 0.500 0.167
0.000 0.500 0.833
0.500 0.000 0.333
0.500 0.000 0.667


Record 6
Pm7Pr16Y6 | Alexandria | GGA-PBE | relaxed; space-group type = Fm-3m (225)
1.0
0.000 8.105 8.105
8.105 0.000 8.105
8.105 8.105 0.000
Pm Pr Y
7 16 6
direct
0.000 0.000 0.000
0.000 0.000 0.500
0.000 0.500 0.000
0.000 0.500 0.500
0.500 0.000 0.000
0.500 0.000 0.500
0.500 0.500 0.000
0.046 0.651 0.651
0.125 0.125 0.125
0.125 0.125 0.625
0.125 0.625 0.125
0.349 0.349 0.349
0.349 0.349 0.954
0.349 0.954 0.349
0.375 0.875 0.875
0.625 0.125 0.125
0.651 0.046 0.651
0.651 0.651 0.046
0.651 0.651 0.651
0.875 0.375 0.875
0.875 0.875 0.375
0.875 0.875 0.875
0.954 0.349 0.349
0.267 0.267 0.733
0.267 0.733 0.267
0.267 0.733 0.733
0.733 0.267 0.267
0.733 0.267 0.733
0.733 0.733 0.267


Record 7
Pm12Pr2Y5 | Alexandria | GGA-PBE | relaxed; energy above the most stable polymorph in this dataset = 10 kJ/mol of formula units; space-group type = C2/m (12)
1.0
8.098 -5.088 0.000
8.098 5.088 0.000
-8.082 0.000 8.135
Pm Pr Y
12 2 5
direct
0.050 0.549 0.197
0.148 0.650 0.598
0.203 0.203 0.300
0.303 0.303 0.700
0.350 0.852 0.402
0.451 0.950 0.803
0.549 0.050 0.197
0.650 0.148 0.598
0.697 0.697 0.300
0.797 0.797 0.700
0.852 0.350 0.402
0.950 0.451 0.803
0.250 0.750 0.000
0.750 0.250 0.000
0.104 0.104 0.908
0.402 0.402 0.105
0.500 0.500 0.500
0.598 0.598 0.895
0.896 0.896 0.092


Record 8
Pm7PrY4 | Alexandria | GGA-PBE | relaxed; energy above the most stable polymorph in this dataset = 0 kJ/mol of formula units; space-group type = P-1 (2)
1.0
6.345 0.000 0.000
-0.005 7.322 0.000
-2.128 -0.002 8.773
Pm Pr Y
7 1 4
direct
0.000 0.000 0.000
0.222 0.500 0.666
0.279 0.250 0.335
0.499 0.247 0.000
0.501 0.753 0.000
0.721 0.750 0.665
0.778 0.500 0.334
0.000 0.500 0.000
0.220 0.000 0.666
0.279 0.753 0.334
0.721 0.247 0.666
0.780 0.000 0.334


Record 9
Pm5Pr12Y2 | Alexandria | GGA-PBE | relaxed; energy above the most stable polymorph in this dataset = 81 kJ/mol of formula units; space-group type = C2/m (12)
1.0
9.677 -3.772 0.000
9.677 3.772 0.000
-4.353 0.000 9.345
Pm Pr Y
5 12 2
direct
0.000 0.000 0.000
0.177 0.177 0.673
0.322 0.322 0.300
0.678 0.678 0.700
0.823 0.823 0.327
0.011 0.011 0.721
0.076 0.592 0.997
0.090 0.591 0.647
0.408 0.924 0.003
0.409 0.910 0.353
0.493 0.493 0.173
0.507 0.507 0.827
0.591 0.090 0.647
0.592 0.076 0.997
0.910 0.409 0.353
0.924 0.408 0.003
0.989 0.989 0.279
0.295 0.705 0.500
0.705 0.295 0.500


Record 10
Pm2Pr5Y12 | Alexandria | GGA-PBE | relaxed; energy above the most stable polymorph in this dataset = 190 kJ/mol of formula units; space-group type = C2/m (12)
1.0
9.181 -4.105 0.000
9.181 4.105 0.000
-2.886 0.000 8.697
Pm Pr Y
2 5 12
direct
0.176 0.824 0.000
0.824 0.176 0.000
0.198 0.198 0.193
0.258 0.258 0.780
0.500 0.500 0.500
0.742 0.742 0.220
0.802 0.802 0.807
0.013 0.013 0.678
0.110 0.583 0.525
0.159 0.564 0.139
0.417 0.890 0.475
0.436 0.841 0.861
0.448 0.448 0.825
0.552 0.552 0.175
0.564 0.159 0.139
0.583 0.110 0.525
0.841 0.436 0.861
0.890 0.417 0.475
0.987 0.987 0.322


Record 11
Pm4PrY5 | Alexandria | GGA-PBE | relaxed; energy above the most stable polymorph in this dataset = 0 kJ/mol of formula units; space-group type = P4/mmm (123)
1.0
3.628 0.000 0.000
0.000 3.628 0.000
0.000 0.000 25.393
Pm Pr Y
4 1 5
direct
0.000 0.000 0.100
0.000 0.000 0.299
0.000 0.000 0.701
0.000 0.000 0.900
0.000 0.000 0.500
0.500 0.500 0.000
0.500 0.500 0.199
0.500 0.500 0.399
0.500 0.500 0.601
0.500 0.500 0.801


Record 12
Pm2Pr12Y | Alexandria | GGA-PBE | relaxed; space-group type = P4/nbm (125)
1.0
6.658 0.000 0.000
0.000 6.658 0.000
0.000 0.000 25.810
Pm Pr Y
4 24 2
direct
0.250 0.750 0.232
0.250 0.750 0.768
0.750 0.250 0.232
0.750 0.250 0.768
0.065 0.565 0.386
0.065 0.935 0.614
0.082 0.582 0.938
0.082 0.918 0.062
0.250 0.250 0.163
0.250 0.250 0.286
0.250 0.250 0.714
0.250 0.250 0.837
0.418 0.582 0.062
0.418 0.918 0.938
0.435 0.565 0.614
0.435 0.935 0.386
0.565 0.065 0.614
0.565 0.435 0.386
0.582 0.082 0.062
0.582 0.418 0.938
0.750 0.750 0.163
0.750 0.750 0.286
0.750 0.750 0.714
0.750 0.750 0.837
0.918 0.082 0.938
0.918 0.418 0.062
0.935 0.065 0.386
0.935 0.435 0.614
0.250 0.750 0.500
0.750 0.250 0.500


Record 13
Pm5Pr3Y3 | Alexandria | GGA-PBE | relaxed; energy above the most stable polymorph in this dataset = 0 kJ/mol of formula units; space-group type = P-62m (189)
1.0
9.713 0.000 0.000
-4.857 8.412 0.000
0.000 0.000 5.640
Pm Pr Y
5 3 3
direct
0.000 0.618 0.000
0.333 0.667 0.000
0.382 0.382 0.000
0.618 0.000 0.000
0.667 0.333 0.000
0.000 0.409 0.500
0.409 0.000 0.500
0.591 0.591 0.500
0.000 0.248 0.000
0.248 0.000 0.000
0.752 0.752 0.000


Record 14
PmPr2Y | Alexandria | GGA-PBE | relaxed; energy above the most stable polymorph in this dataset = 2 kJ/mol of formula units; space-group type = I-4m2 (119)
1.0
5.191 0.000 0.000
0.000 5.191 0.000
0.000 0.000 10.339
Pm Pr Y
2 4 2
direct
0.000 0.000 0.000
0.500 0.500 0.500
0.000 0.000 0.500
0.000 0.500 0.250
0.500 0.000 0.750
0.500 0.500 0.000
0.000 0.500 0.750
0.500 0.000 0.250


Record 15
Pm5Pr3Y4 | Alexandria | GGA-PBE | relaxed; energy above the most stable polymorph in this dataset = 0 kJ/mol of formula units; space-group type = P-1 (2)
1.0
6.309 0.000 0.000
0.001 7.273 0.000
0.000 0.007 8.917
Pm Pr Y
5 3 4
direct
0.000 0.000 0.000
0.334 0.500 0.334
0.500 0.248 0.000
0.500 0.752 0.000
0.666 0.500 0.666
0.000 0.500 0.000
0.167 0.751 0.666
0.833 0.249 0.334
0.168 0.248 0.666
0.334 0.000 0.334
0.666 0.000 0.666
0.832 0.752 0.334


Record 16
PmPrYZn | Alexandria | GGA-PBE | relaxed; energy above the most stable polymorph in this dataset = 0 kJ/mol of formula units; space-group type = P4mm (99)
1.0
3.641 0.000 0.000
0.000 3.641 0.000
0.000 0.000 8.834
Pm Pr Y Zn
1 1 1 1
direct
0.000 0.000 0.000
0.500 0.500 0.300
0.000 0.000 0.594
0.500 0.500 0.787


Record 17
PmPrYZn | Alexandria | GGA-PBE | relaxed; energy above the most stable polymorph in this dataset = 90 kJ/mol of formula units; space-group type = F-43m (216)
1.0
7.722 0.000 0.000
0.000 7.722 0.000
0.000 0.000 7.722
Pm Pr Y Zn
4 4 4 4
direct
0.000 0.000 0.000
0.000 0.500 0.500
0.500 0.000 0.500
0.500 0.500 0.000
0.250 0.250 0.250
0.250 0.750 0.750
0.750 0.250 0.750
0.750 0.750 0.250
0.250 0.250 0.750
0.250 0.750 0.250
0.750 0.250 0.250
0.750 0.750 0.750
0.000 0.000 0.500
0.000 0.500 0.000
0.500 0.000 0.000
0.500 0.500 0.500


Record 18
Pm4PrZn | Alexandria | GGA-PBE | relaxed; energy above the most stable polymorph in this dataset = 0 kJ/mol of formula units; space-group type = P4/mmm (123)
1.0
3.670 0.000 0.000
0.000 3.670 0.000
0.000 0.000 14.015
Pm Pr Zn
4 1 1
direct
0.000 0.000 0.129
0.000 0.000 0.871
0.500 0.500 0.314
0.500 0.500 0.686
0.000 0.000 0.500
0.500 0.500 0.000


Record 19
PmPrZn2 | Alexandria | GGA-PBE | relaxed; space-group type = R-3m (166)
1.0
3.724 0.000 0.000
-1.862 3.225 0.000
0.000 0.000 27.444
Pm Pr Zn
3 3 6
direct
0.000 0.000 0.000
0.333 0.667 0.667
0.667 0.333 0.333
0.000 0.000 0.500
0.333 0.667 0.167
0.667 0.333 0.833
0.000 0.000 0.251
0.000 0.000 0.749
0.333 0.667 0.415
0.333 0.667 0.918
0.667 0.333 0.082
0.667 0.333 0.585


Record 20
PmPrZn3 | Alexandria | GGA-PBE | relaxed; space-group type = Cmcm (63)
1.0
1.823 -13.947 0.000
1.823 13.947 0.000
0.000 0.000 4.574
Pm Pr Zn
2 2 6
direct
0.070 0.930 0.750
0.930 0.070 0.250
0.208 0.792 0.250
0.792 0.208 0.750
0.334 0.666 0.250
0.384 0.616 0.750
0.477 0.523 0.750
0.523 0.477 0.250
0.616 0.384 0.250
0.666 0.334 0.750


no.,energy of formation from the pure elements (kJ per mole of atoms),total magnetization (Bohr magnetons per cell)
1,20.7,0.2
2,25.4,0.0
3,34.8,0.0
4,1.5,0.0
5,5.8,0.0
6,19.6,0.0
7,9.7,0.0
8,0.1,0.0
9,15.8,0.0
10,20.5,0.0
11,1.5,0.0
12,29.6,0.0
13,71.7,0.0
14,1.4,0.0
15,1.2,0.0
16,-15.5,0.0
17,7.1,0.0
18,-9.4,0.0
19,-8.2,0.0
20,-30.1,0.0